(1)
Entry from Alexandria: crystalline Rb2MnVI at its relaxed geometry (PBE-GGA).

Calculated volume, A^3/atom: 38.105
Formation energy from raw total energies, meV/atom: 701
Fermi-level density of states, states/eV per atom: 1.32
Space-group type: P4/mmm (123)
DFT total energy, eV per atom: -3.65

abc: 6.875 6.875 4.031
angles: 90.00 90.00 90.00
Atoms (fractional coordinates):
Rb: 0.000 0.500 0.000
Rb: 0.500 0.000 0.000
Mn: 0.000 0.000 0.500
V: 0.000 0.000 0.000
I: 0.500 0.500 0.500

***

(2)
Entry from Alexandria: crystalline Bi3AsPb at its relaxed geometry (PBE-GGA).

Calculated volume, A^3/atom: 40.435
Excess energy over the best structure of this formula in the dataset, meV/atom: 668
ΔE_f, eV per atom: 1.11
Fermi-level density of states, states/eV per atom: 1.43
Space-group type: Pm-3m (221)
DFT total energy, eV per atom: -2.89

abc: 5.869 5.869 5.869
angles: 90.00 90.00 90.00
Atoms (fractional coordinates):
Bi: 0.000 0.000 0.500
Bi: 0.000 0.500 0.000
Bi: 0.500 0.000 0.000
As: 0.500 0.500 0.500
Pb: 0.000 0.000 0.000

***

(3)
Entry from Alexandria: crystalline La4Tb10Dy at its relaxed geometry (PBE-GGA).

Calculated volume, A^3/atom: 34.489
ΔE_f, eV per atom: 0.35
Fermi-level density of states, states/eV per atom: 1.51
Space-group type: I4/m (87)
DFT total energy, eV per atom: -4.36

abc: 8.773 8.773 8.773
angles: 111.82 111.82 104.88
Atoms (fractional coordinates):
La: 0.064 0.667 0.730
La: 0.333 0.064 0.397
La: 0.667 0.936 0.603
La: 0.936 0.333 0.270
Tb: 0.131 0.225 0.678
Tb: 0.225 0.547 0.094
Tb: 0.250 0.750 0.500
Tb: 0.453 0.131 0.906
Tb: 0.453 0.547 0.678
Tb: 0.547 0.453 0.322
Tb: 0.547 0.869 0.094
Tb: 0.750 0.250 0.500
Tb: 0.775 0.453 0.906
Tb: 0.869 0.775 0.322
Dy: 0.000 0.000 0.000

***

(4)
Entry from Alexandria: crystalline Ac2Cd3Ag2 at its relaxed geometry (PBE-GGA).

Calculated volume, A^3/atom: 27.145
Excess energy over the best structure of this formula in the dataset, meV/atom: 0
ΔE_f, eV per atom: -0.30
Fermi-level density of states, states/eV per atom: 0.54
Space-group type: C2/m (12)
DFT total energy, eV per atom: -2.68

abc: 11.074 4.808 7.732
angles: 90.00 112.62 90.00
Atoms (fractional coordinates):
Ac: 0.146 0.000 0.276
Ac: 0.354 0.500 0.724
Ac: 0.646 0.500 0.276
Ac: 0.854 0.000 0.724
Cd: 0.000 0.500 0.500
Cd: 0.117 0.500 0.930
Cd: 0.383 0.000 0.070
Cd: 0.500 0.000 0.500
Cd: 0.617 0.000 0.930
Cd: 0.883 0.500 0.070
Ag: 0.147 0.000 0.719
Ag: 0.353 0.500 0.281
Ag: 0.647 0.500 0.719
Ag: 0.853 0.000 0.281

***

(5)
Entry from Alexandria: crystalline Ce2TmSb2 at its relaxed geometry (PBE-GGA).

Calculated volume, A^3/atom: 31.079
Formation energy from raw total energies, meV/atom: -719
Fermi-level density of states, states/eV per atom: 3.01
Space-group type: Cmc2_1 (36)
DFT total energy, eV per atom: -5.64

abc: 6.209 6.209 12.043
angles: 90.00 90.00 137.98
Atoms (fractional coordinates):
Ce: 0.059 0.941 0.500
Ce: 0.333 0.667 0.721
Ce: 0.667 0.333 0.221
Ce: 0.941 0.059 0.000
Tm: 0.355 0.645 0.381
Tm: 0.645 0.355 0.881
Sb: 0.030 0.970 0.754
Sb: 0.241 0.759 0.032
Sb: 0.759 0.241 0.532
Sb: 0.970 0.030 0.254

***

(6)
Entry from Alexandria: crystalline CaEuGeAu at its relaxed geometry (PBE-GGA).

Calculated volume, A^3/atom: 25.047
ΔE_f, eV per atom: -0.69
Fermi-level density of states, states/eV per atom: 2.72
Space-group type: F-43m (216)
DFT total energy, eV per atom: -5.73

abc: 7.373 7.373 7.373
angles: 90.00 90.00 90.00
Atoms (fractional coordinates):
Ca: 0.000 0.000 0.000
Ca: 0.000 0.500 0.500
Ca: 0.500 0.000 0.500
Ca: 0.500 0.500 0.000
Eu: 0.000 0.000 0.500
Eu: 0.000 0.500 0.000
Eu: 0.500 0.000 0.000
Eu: 0.500 0.500 0.500
Ge: 0.250 0.250 0.750
Ge: 0.250 0.750 0.250
Ge: 0.750 0.250 0.250
Ge: 0.750 0.750 0.750
Au: 0.250 0.250 0.250
Au: 0.250 0.750 0.750
Au: 0.750 0.250 0.750
Au: 0.750 0.750 0.250

***

(7)
Entry from Alexandria: crystalline Na4Pa3ReN8 at its relaxed geometry (PBE-GGA).

Calculated volume, A^3/atom: 14.660
Formation energy from raw total energies, meV/atom: -860
Fermi-level density of states, states/eV per atom: 0.32
Space-group type: R-3m (166)
DFT total energy, eV per atom: -7.91

abc: 6.956 6.956 6.956
angles: 59.37 59.37 59.37
Atoms (fractional coordinates):
Na: 0.000 0.000 0.000
Na: 0.000 0.500 0.500
Na: 0.500 0.000 0.500
Na: 0.500 0.500 0.000
Pa: 0.000 0.000 0.500
Pa: 0.000 0.500 0.000
Pa: 0.500 0.000 0.000
Re: 0.500 0.500 0.500
N: 0.230 0.230 0.230
N: 0.247 0.720 0.720
N: 0.280 0.280 0.753
N: 0.280 0.753 0.280
N: 0.720 0.247 0.720
N: 0.720 0.720 0.247
N: 0.753 0.280 0.280
N: 0.770 0.770 0.770

***

(8)
Entry from Alexandria: crystalline CdReSeI2 at its relaxed geometry (PBE-GGA).

Calculated volume, A^3/atom: 38.173
Formation energy from raw total energies, meV/atom: 1366
Fermi-level density of states, states/eV per atom: 0.51
Space-group type: P4/mmm (123)
DFT total energy, eV per atom: -2.62

abc: 6.040 6.040 5.232
angles: 90.00 90.00 90.00
Atoms (fractional coordinates):
Cd: 0.000 0.000 0.000
Re: 0.500 0.500 0.000
Se: 0.000 0.000 0.500
I: 0.000 0.500 0.500
I: 0.500 0.000 0.500

***

(9)
Entry from Alexandria: crystalline La2PmYTm at its relaxed geometry (PBE-GGA).

Calculated volume, A^3/atom: 36.465
ΔE_f, eV per atom: 0.33
Fermi-level density of states, states/eV per atom: 1.58
Space-group type: Cmcm (63)
DFT total energy, eV per atom: -4.78

abc: 7.311 7.311 6.905
angles: 90.00 90.00 81.16
Atoms (fractional coordinates):
La: 0.249 0.249 0.000
La: 0.249 0.249 0.500
La: 0.751 0.751 0.000
La: 0.751 0.751 0.500
Pm: 0.399 0.601 0.750
Pm: 0.601 0.399 0.250
Y: 0.248 0.752 0.250
Y: 0.752 0.248 0.750
Tm: 0.087 0.913 0.750
Tm: 0.913 0.087 0.250

***

(10)
Entry from Alexandria: crystalline Dy2GaNi12B3 at its relaxed geometry (PBE-GGA).

Calculated volume, A^3/atom: 12.980
ΔE_f, eV per atom: -0.11
Fermi-level density of states, states/eV per atom: 0.46
Space-group type: R-3m (166)
DFT total energy, eV per atom: -5.75

abc: 6.758 6.758 6.758
angles: 63.18 63.18 63.18
Atoms (fractional coordinates):
Dy: 0.095 0.095 0.095
Dy: 0.905 0.905 0.905
Ga: 0.500 0.500 0.500
Ni: 0.077 0.640 0.640
Ni: 0.226 0.226 0.623
Ni: 0.226 0.623 0.226
Ni: 0.360 0.360 0.923
Ni: 0.360 0.923 0.360
Ni: 0.377 0.774 0.774
Ni: 0.623 0.226 0.226
Ni: 0.640 0.077 0.640
Ni: 0.640 0.640 0.077
Ni: 0.774 0.377 0.774
Ni: 0.774 0.774 0.377
Ni: 0.923 0.360 0.360
B: 0.000 0.500 0.500
B: 0.500 0.000 0.500
B: 0.500 0.500 0.000

***

(11)
Entry from Alexandria: crystalline SmSnPd at its relaxed geometry (PBE-GGA).

Calculated volume, A^3/atom: 23.275
ΔE_f, eV per atom: -0.91
Fermi-level density of states, states/eV per atom: 0.47
Space-group type: Imm2 (44)
DFT total energy, eV per atom: -5.55

abc: 12.038 12.038 12.038
angles: 157.50 45.48 141.02
Atoms (fractional coordinates):
Sm: 0.000 0.000 0.000
Sm: 0.249 0.085 0.164
Sm: 0.334 0.004 0.330
Sm: 0.582 0.082 0.500
Sm: 0.674 0.004 0.670
Sm: 0.920 0.085 0.836
Sn: 0.115 0.383 0.732
Sn: 0.137 0.704 0.432
Sn: 0.272 0.704 0.568
Sn: 0.606 0.705 0.901
Sn: 0.650 0.383 0.268
Sn: 0.803 0.705 0.099
Pd: 0.300 0.374 0.927
Pd: 0.447 0.374 0.073
Pd: 0.478 0.711 0.767
Pd: 0.773 0.376 0.397
Pd: 0.944 0.711 0.233
Pd: 0.978 0.376 0.603

***

(12)
Entry from Alexandria: crystalline SbS2NCl at its relaxed geometry (PBE-GGA).

Calculated volume, A^3/atom: 17.900
Excess energy over the best structure of this formula in the dataset, meV/atom: 550
Formation energy from raw total energies, meV/atom: 1415
Fermi-level density of states, states/eV per atom: 0.48
Space-group type: P4/mmm (123)
DFT total energy, eV per atom: -3.10

abc: 4.823 4.823 3.847
angles: 90.00 90.00 90.00
Atoms (fractional coordinates):
Sb: 0.000 0.000 0.000
S: 0.000 0.500 0.500
S: 0.500 0.000 0.500
N: 0.500 0.500 0.000
Cl: 0.500 0.500 0.500

***

Q: What is the DFT total energy in the first record?
A: -3.65 eV per atom